No. 1
LiHO: relaxed, PBE.

## Properties
relative energy among the computed polymorphs	0.00	eV/f.u.
energy	-4.97	eV/atom
space group	P4/nmm (129)

a = 3.5772 Å, b = 3.5772 Å, c = 4.4850 Å
α = 90.00°, β = 90.00°, γ = 90.00°
Atoms (fractional coordinates):
Li (0.2500, 0.7500, 0.0000)
Li (0.7500, 0.2500, 0.0000)
H (0.2500, 0.2500, 0.4070)
H (0.7500, 0.7500, 0.5930)
O (0.2500, 0.2500, 0.1906)
O (0.7500, 0.7500, 0.8094)


No. 2
BaNb2Cr2: relaxed, PBE.

## Properties
relative energy among the computed polymorphs	0.15	eV/f.u.
calculated formation energy	0.82	eV per atom
energy	-7.44	eV/atom
space group	I4/mmm (139)

a = 7.1950 Å, b = 7.1950 Å, c = 7.1950 Å
α = 147.16°, β = 147.16°, γ = 47.13°
Atoms (fractional coordinates):
Ba (0.0000, 0.0000, 0.0000)
Nb (0.3593, 0.3593, 0.0000)
Nb (0.6407, 0.6407, 0.0000)
Cr (0.2500, 0.7500, 0.5000)
Cr (0.7500, 0.2500, 0.5000)


No. 3
CaTl2ZnF6: relaxed, PBE.

## Properties
formation energy from raw total energies	-2.581	eV per atom
energy	-4.50	eV/atom
space group	P4/mmm (123)

a = 4.4121 Å, b = 4.4121 Å, c = 8.5629 Å
α = 90.00°, β = 90.00°, γ = 90.00°
Atoms (fractional coordinates):
Ca (0.0000, 0.0000, 0.0000)
Tl (0.5000, 0.5000, 0.2671)
Tl (0.5000, 0.5000, 0.7329)
Zn (0.0000, 0.0000, 0.5000)
F (0.0000, 0.0000, 0.2700)
F (0.0000, 0.0000, 0.7300)
F (0.0000, 0.5000, 0.0000)
F (0.0000, 0.5000, 0.5000)
F (0.5000, 0.0000, 0.0000)
F (0.5000, 0.0000, 0.5000)


No. 4
ScMo2Os: relaxed, PBE.

## Properties
relative energy among the computed polymorphs	1.23	eV/f.u.
calculated formation energy	0.19	eV per atom
energy	-9.61	eV/atom
space group	Cmmm (65)

a = 5.2201 Å, b = 5.2201 Å, c = 2.7808 Å
α = 90.00°, β = 90.00°, γ = 120.08°
Atoms (fractional coordinates):
Sc (0.0000, 0.0000, 0.0000)
Mo (0.0000, 0.5000, 0.5000)
Mo (0.5000, 0.0000, 0.5000)
Os (0.5000, 0.5000, 0.0000)


No. 5
Sc5Co2Cu: relaxed, PBE.

## Properties
calculated formation energy	-0.26	eV per atom
energy	-6.51	eV/atom
space group	I4/mcm (140)

a = 7.8015 Å, b = 7.8015 Å, c = 7.8015 Å
α = 126.52°, β = 126.52°, γ = 79.04°
Atoms (fractional coordinates):
Sc (0.0000, 0.0000, 0.0000)
Sc (0.0225, 0.5225, 0.8233)
Sc (0.1992, 0.0225, 0.5000)
Sc (0.3008, 0.8008, 0.8233)
Sc (0.4775, 0.3008, 0.5000)
Sc (0.5000, 0.5000, 0.0000)
Sc (0.5225, 0.6992, 0.5000)
Sc (0.6992, 0.1992, 0.1767)
Sc (0.8008, 0.9775, 0.5000)
Sc (0.9775, 0.4775, 0.1767)
Co (0.1348, 0.3652, 0.5000)
Co (0.3652, 0.8652, 0.2305)
Co (0.6348, 0.1348, 0.7695)
Co (0.8652, 0.6348, 0.5000)
Cu (0.2500, 0.2500, 0.0000)
Cu (0.7500, 0.7500, 0.0000)


- Among the records above, which one has the lowest energy?
  ScMo2Os